Entry from Alexandria via LeMat-Bulk: a geometry-optimized PrScS3 structure (PBEsol).

Summary:
ΔE_f (raw) in meV/atom: -2054
Calculated density in g/cm³: 4.3
Fermi-level density of states in states/eV per atom: 0.000

Cell: 7.136 9.479 6.402 Å, 90.00 90.00 90.00°
Space group Pnma (No. 62)
Symmetry-distinct sites (fractional):
Pr1 0.101 0.250 0.039 (multiplicity 4)
Sc1 0.000 0.000 0.500 (multiplicity 4)
S1 0.032 0.750 0.375 (multiplicity 4)
S2 0.186 0.560 0.825 (multiplicity 8)